<a>
A plane-wave DFT calculation with PBE+U was carried out for a relaxed VCuP2O crystal.

Structure (POSCAR):
```
VCuP2O
1.0
4.178 0.000 0.000
0.000 5.308 0.000
0.000 0.000 4.178
O P Cu V
1 2 1 1
direct
0.500 0.500 0.500
0.000 0.000 0.500
0.500 0.000 0.000
0.000 0.000 0.000
0.000 0.500 0.000
```

Mass density = 3449 kg/m³
M_tot = 1.577 μB per cell



<b>
A plane-wave DFT calculation with PBE+U was carried out for a relaxed VCuP2O crystal.

Structure (POSCAR):
```
VCuP2O
1.0
4.516 0.000 0.000
0.000 4.516 0.000
0.000 0.000 3.595
V P Cu O
1 2 1 1
direct
0.500 0.500 0.500
0.000 0.500 0.000
0.500 0.000 0.000
0.000 0.000 0.000
0.000 0.000 0.500
```

Mass density = 4358 kg/m³
M_tot = 0.000 μB per cell



Which structure is most stable? <b>, by 157 meV/atom over the runner-up.



<a>
A plane-wave DFT calculation with PBE+U was carried out for a relaxed CuPWO2 crystal.

Structure (POSCAR):
```
CuPWO2
1.0
3.764 0.000 0.000
0.000 3.764 0.000
0.000 0.000 4.766
Cu O P W
1 2 1 1
direct
0.000 0.000 0.000
0.000 0.500 0.000
0.500 0.000 0.000
0.000 0.000 0.500
0.500 0.500 0.500
```

Mass density = 7634 kg/m³
M_tot = 2.576 μB per cell



<b>
A plane-wave DFT calculation with PBE+U was carried out for a relaxed CuPWO2 crystal.

Structure (POSCAR):
```
CuPWO2
1.0
-2.715 -2.473 -0.979
2.059 -2.840 1.464
-2.278 0.697 4.555
Cu O W P
1 2 1 1
direct
0.500 0.500 0.500
0.000 0.500 0.000
0.500 0.000 0.000
0.000 0.000 0.000
0.000 0.000 0.500
```

Mass density = 6940 kg/m³
M_tot = 0.000 μB per cell



Which structure is most stable? <b>, by 1052 meV/atom over the runner-up.